(1)
# Li2HoSc2Pb2 GGA-PBE relaxed
data_Li2HoSc2Pb2
_cell_length_a 4.7430
_cell_length_b 4.7430
_cell_length_c 25.1053
_cell_angle_alpha 90.00
_cell_angle_beta 90.00
_cell_angle_gamma 120.00
_space_group_name_H-M_alt 'R -3 m'
_space_group_IT_number 166
_space_group_name_Hall '-R 3 2"'
loop_
_atom_site_label
_atom_site_type_symbol
_atom_site_fract_x
_atom_site_fract_y
_atom_site_fract_z
Li1 Li 0.0000 0.0000 0.0756
Ho1 Ho 0.0000 0.0000 0.5000
Sc1 Sc 0.0000 0.0000 0.3660
Pb1 Pb 0.0000 0.0000 0.2393
# Spin magnetization in μB/f.u.: 0.9
# ΔH_f (0 K) in eV/atom: -0.30
# D(E_F) in states/eV/cell: 16.909

---

(2)
# K4MgH7 GGA-PBE relaxed
data_K4MgH7
_cell_length_a 14.456
_cell_length_b 3.982
_cell_length_c 9.576
_cell_angle_alpha 90.00
_cell_angle_beta 104.33
_cell_angle_gamma 90.00
_space_group_name_H-M_alt 'C 1 2/m 1'
_space_group_IT_number 12
loop_
_space_group_symop_operation_xyz
'x,y,z'
'-x,-y,-z'
'-x,y,-z'
'x,-y,z'
'x+1/2,y+1/2,z'
'-x+1/2,-y+1/2,-z'
'-x+1/2,y+1/2,-z'
'x+1/2,-y+1/2,z'
loop_
_atom_site_label
_atom_site_type_symbol
_atom_site_fract_x
_atom_site_fract_y
_atom_site_fract_z
K1 K 0.124 0.000 0.280
K2 K 0.145 0.000 0.856
Mg1 Mg 0.000 0.500 0.000
H1 H 0.000 0.000 0.000
H2 H 0.010 0.500 0.798
H3 H 0.027 0.000 0.518
H4 H 0.150 0.500 0.068
# Spin magnetization in μB/f.u.: 0.0
# D(E_F) in states/eV/cell: 3.774
# E_tot in Ry/atom: -0.1919

---

(3)
# Ta2SiNiH GGA-PBE relaxed
data_Ta2SiNiH
_cell_length_a 4.036
_cell_length_b 4.036
_cell_length_c 3.813
_cell_angle_alpha 90.00
_cell_angle_beta 90.00
_cell_angle_gamma 90.00
_space_group_name_H-M_alt 'P 4/m m m'
_space_group_IT_number 123
_space_group_name_Hall '-P 4 2'
loop_
_atom_site_label
_atom_site_type_symbol
_atom_site_fract_x
_atom_site_fract_y
_atom_site_fract_z
Ta1 Ta 0.000 0.500 0.000
Si1 Si 0.000 0.000 0.500
Ni1 Ni 0.500 0.500 0.500
H1 H 0.500 0.500 0.000
# Spin magnetization in μB/f.u.: 0.0
# D(E_F) in states/eV/cell: 2.343
# E_tot in Ry/atom: -0.5767

---

(4)
# Na3Pb5 GGA-PBE relaxed
data_Na3Pb5
_cell_length_a 7.029
_cell_length_b 22.298
_cell_length_c 12.235
_cell_angle_alpha 90.00
_cell_angle_beta 90.00
_cell_angle_gamma 90.00
_space_group_name_H-M_alt 'F d d 2'
_space_group_IT_number 43
_space_group_name_Hall 'F 2 -2d'
loop_
_atom_site_label
_atom_site_type_symbol
_atom_site_fract_x
_atom_site_fract_y
_atom_site_fract_z
Na1 Na 0.000 0.000 0.000
Na2 Na 0.003 0.250 0.498
Pb1 Pb 0.000 0.000 0.497
Pb2 Pb 0.001 0.125 0.664
Pb3 Pb 0.003 0.374 0.665
# Spin magnetization in μB/f.u.: 0.0
# Energy above the lowest structure with this stoichiometry in eV per formula unit: 0.04
# ΔH_f (0 K) in eV/atom: -0.11
# D(E_F) in states/eV/cell: 16.776

---

(5)
# TaZnPb GGA-PBE relaxed
data_TaZnPb
_cell_length_a 4.223
_cell_length_b 4.230
_cell_length_c 15.057
_cell_angle_alpha 90.00
_cell_angle_beta 90.00
_cell_angle_gamma 90.00
_space_group_name_H-M_alt 'F m m 2'
_space_group_IT_number 42
_space_group_name_Hall 'F 2 -2'
loop_
_atom_site_label
_atom_site_type_symbol
_atom_site_fract_x
_atom_site_fract_y
_atom_site_fract_z
Ta1 Ta 0.000 0.000 0.000
Zn1 Zn 0.000 0.000 0.620
Pb1 Pb 0.000 0.000 0.336
# Spin magnetization in μB/f.u.: 0.0
# ΔH_f (0 K) in eV/atom: 0.37
# D(E_F) in states/eV/cell: 6.013

---

(6)
# Sm2Dy5HoEr GGA-PBE relaxed
data_Sm2Dy5HoEr
_cell_length_a 8.569
_cell_length_b 8.569
_cell_length_c 15.722
_cell_angle_alpha 90.00
_cell_angle_beta 90.00
_cell_angle_gamma 90.00
_space_group_name_H-M_alt 'I 4/m c m'
_space_group_IT_number 140
_space_group_name_Hall '-I 4 2c'
loop_
_atom_site_label
_atom_site_type_symbol
_atom_site_fract_x
_atom_site_fract_y
_atom_site_fract_z
Sm1 Sm 0.118 0.382 0.000
Dy1 Dy 0.000 0.000 0.000
Dy2 Dy 0.212 0.288 0.360
Ho1 Ho 0.000 0.000 0.250
Er1 Er 0.000 0.500 0.250
# Spin magnetization in μB/f.u.: 0.0
# ΔH_f (0 K) in eV/atom: 0.29
# D(E_F) in states/eV/cell: 49.218

---

(7)
# Zn2TePd8 GGA-PBE relaxed
data_Zn2TePd8
_cell_length_a 14.060
_cell_length_b 4.143
_cell_length_c 6.173
_cell_angle_alpha 90.00
_cell_angle_beta 105.68
_cell_angle_gamma 90.00
_space_group_name_H-M_alt 'C 1 2/m 1'
_space_group_IT_number 12
loop_
_space_group_symop_operation_xyz
'x,y,z'
'-x,-y,-z'
'-x,y,-z'
'x,-y,z'
'x+1/2,y+1/2,z'
'-x+1/2,-y+1/2,-z'
'-x+1/2,y+1/2,-z'
'x+1/2,-y+1/2,z'
loop_
_atom_site_label
_atom_site_type_symbol
_atom_site_fract_x
_atom_site_fract_y
_atom_site_fract_z
Zn1 Zn 0.217 0.000 0.156
Te1 Te 0.000 0.500 0.500
Pd1 Pd 0.041 0.000 0.236
Pd2 Pd 0.099 0.500 0.965
Pd3 Pd 0.159 0.000 0.726
Pd4 Pd 0.178 0.500 0.427
# Spin magnetization in μB/f.u.: 0.0
# Energy above the lowest structure with this stoichiometry in eV per formula unit: 0.00
# D(E_F) in states/eV/cell: 9.471
# Raw formation energy in eV/atom: -0.324

---

(8)
# ScBeCu2 GGA-PBE relaxed
data_ScBeCu2
_cell_length_a 4.9936
_cell_length_b 4.9936
_cell_length_c 22.5058
_cell_angle_alpha 90.00
_cell_angle_beta 90.00
_cell_angle_gamma 120.00
_space_group_name_H-M_alt 'R -3 m'
_space_group_IT_number 166
_space_group_name_Hall '-R 3 2"'
loop_
_atom_site_label
_atom_site_type_symbol
_atom_site_fract_x
_atom_site_fract_y
_atom_site_fract_z
Sc1 Sc 0.0000 0.0000 0.0000
Sc2 Sc 0.0000 0.0000 0.1430
Be1 Be 0.0000 0.0000 0.3319
Be2 Be 0.0000 0.0000 0.5000
Cu1 Cu 0.0015 0.5007 0.0801
# Spin magnetization in μB/f.u.: 0.0
# ΔH_f (0 K) in eV/atom: -0.21
# D(E_F) in states/eV/cell: 16.286